A geometry-optimized LaOsW structure. Source: Alexandria via LeMat-Bulk, functional GGA-PBE.

Cell lengths 4.464, 4.464, 7.007 Å; angles 90.00, 90.00, 90.00 degrees
Atoms (fractional coordinates):
La: 0.500 0.000 0.142
Os: 0.500 0.000 0.676
La: 0.000 0.500 0.858
Os: 0.000 0.500 0.324
W: 0.500 0.500 0.500
W: 0.000 0.000 0.500

Calculated values
- Formation enthalpy at 0 K: 0.039 eV/atom
- Fermi-level density of states: 7.54 states/eV/cell
- Space group: P4/nmm

A geometry-optimized LaOsW3 structure. Source: Alexandria via LeMat-Bulk, functional GGA-PBE.

Cell lengths 4.868, 4.868, 4.868 Å; angles 90.00, 90.00, 90.00 degrees
Last column: magnetic moment on the atom in μB.
Atoms (fractional coordinates):
La: 0.500 0.500 0.500  0.12
Os: 0.000 0.000 0.000  -0.04
W: 0.000 0.500 0.000  0.55
W: 0.500 0.000 0.000  0.34
W: 0.000 0.000 0.500  0.63

Calculated values
- Formation enthalpy at 0 K: 1.346 eV/atom
- Fermi-level density of states: 3.95 states/eV/cell
- Space group: Pm-3m

A geometry-optimized La2OsW structure. Source: Alexandria via LeMat-Bulk, functional GGA-PBE.

Cell lengths 4.896, 3.102, 5.660 Å; angles 82.84, 90.00, 90.00 degrees
Atoms (fractional coordinates):
La: 0.000 0.486 0.495
Os: 0.500 0.250 0.250
La: 0.000 0.014 0.005
W: 0.500 0.750 0.750

Calculated values
- Formation enthalpy at 0 K: 0.713 eV/atom
- Fermi-level density of states: 5.06 states/eV/cell
- Space group: P2/m

A geometry-optimized La2OsW structure. Source: Alexandria via LeMat-Bulk, functional GGA-PBE.

Cell lengths 5.102, 5.102, 5.102 Å; angles 60.00, 60.00, 60.00 degrees
Last column: magnetic moment on the atom in μB.
Atoms (fractional coordinates):
W: 0.000 0.000 0.000  1.11
La: 0.250 0.250 0.250  0.05
La: 0.750 0.750 0.750  0.05
Os: 0.500 0.500 0.500  0.15

Calculated values
- Formation enthalpy at 0 K: 0.750 eV/atom
- Fermi-level density of states: 5.07 states/eV/cell
- Space group: Fm-3m

A geometry-optimized La2OsW structure. Source: Alexandria via LeMat-Bulk, functional GGA-PBE.

Cell lengths 4.011, 3.141, 8.666 Å; angles 73.67, 90.00, 90.00 degrees
Atoms (fractional coordinates):
La: 0.000 0.970 0.928
La: 0.500 0.289 0.331
W: 0.500 0.755 0.675
Os: 0.000 0.486 0.566

Calculated values
- Formation enthalpy at 0 K: 0.330 eV/atom
- Fermi-level density of states: 4.87 states/eV/cell
- Space group: Pm

A geometry-optimized LaOs2W2 structure. Source: Alexandria via LeMat-Bulk, functional GGA-PBE.

Cell lengths 4.337, 4.337, 6.257 Å; angles 69.72, 69.72, 90.00 degrees
Atoms (fractional coordinates):
Os: 0.750 0.250 0.500
W: 0.627 0.627 0.747
W: 0.373 0.373 0.253
Os: 0.250 0.750 0.500
La: 0.000 0.000 0.000

Calculated values
- Formation enthalpy at 0 K: 0.211 eV/atom
- Fermi-level density of states: 5.29 states/eV/cell
- Space group: I4/mmm

A geometry-optimized La2OsW structure. Source: Alexandria via LeMat-Bulk, functional GGA-PBE.

Cell lengths 3.085, 3.085, 9.797 Å; angles 90.00, 90.00, 111.58 degrees
Atoms (fractional coordinates):
La: 0.000 0.000 0.486
W: 0.500 0.500 0.750
Os: 0.500 0.500 0.250
La: 0.000 0.000 0.014

Calculated values
- Formation enthalpy at 0 K: 0.710 eV/atom
- Fermi-level density of states: 2.81 states/eV/cell
- Space group: Cmmm

A geometry-optimized La2OsW structure. Source: Alexandria via LeMat-Bulk, functional GGA-PBE.

Cell lengths 3.362, 5.169, 4.874 Å; angles 90.00, 90.00, 90.00 degrees
Atoms (fractional coordinates):
W: 0.000 0.500 0.500
La: 0.500 0.500 0.000
Os: 0.500 0.000 0.500
La: 0.000 0.000 0.000

Calculated values
- Formation enthalpy at 0 K: 0.683 eV/atom
- Fermi-level density of states: 4.38 states/eV/cell
- Space group: Pmmm